Below is a geometry-optimized Ac2PdC2N6 structure, with properties calculated at the PBE level.

The structure belongs to space group P-3 (No. 147); the cell edges are 5.4427, 5.4427 and 5.6614 Å and the angles 90.00°, 90.00° and 120.00°. The distinct sites, in fractional coordinates, are Ac at (0.3333, 0.6667, 0.2983), Pd at (0.0000, 0.0000, 0.0000), C at (0.3333, 0.6667, 0.8015) and N at (0.1469, 0.3808, 0.7773).

Its uncorrected formation energy is -0.189 eV/atom.

=====

Below is a geometry-optimized AcPrC3N6 structure, with properties calculated at the PBE level.

The structure belongs to space group R3 (No. 146, hexagonal axes); the cell edges are 7.0150, 7.0150 and 15.3504 Å and the angles 90.00°, 90.00° and 120.00°. The distinct sites, in fractional coordinates, are Ac at (0.0000, 0.0000, 0.0000), Pr at (0.0000, 0.0000, 0.3596), C at (0.0265, 0.2862, 0.1831), N at (0.0067, 0.4544, 0.7773) and N at (0.0914, 0.3622, 0.9221).

Its uncorrected formation energy is -0.724 eV/atom.

=====

Below is a geometry-optimized Ac3PtC2N6 structure, with properties calculated at the PBE level.

The structure belongs to space group P-3m1 (No. 164); the cell edges are 5.5028, 5.5028 and 7.0035 Å and the angles 90.00°, 90.00° and 120.00°. The distinct sites, in fractional coordinates, are Ac at (0.0000, 0.0000, 0.0000), Ac at (0.3333, 0.6667, 0.6635), Pt at (0.0000, 0.0000, 0.5000), C at (0.3333, 0.6667, 0.2605) and N at (0.1884, 0.3767, 0.2597).

Its uncorrected formation energy is -0.430 eV/atom.

=====

Below is a geometry-optimized RbAcC2N4 structure, with properties calculated at the PBE level.

The structure belongs to space group I222 (No. 23); the cell edges are 5.977, 5.988 and 6.971 Å and the angles 90.00°, 90.00° and 90.00°. The distinct sites, in fractional coordinates, are Rb at (0.000, 0.000, 0.000), Ac at (0.000, 0.000, 0.500), C at (0.000, 0.500, 0.249) and N at (0.147, 0.354, 0.751).

Its uncorrected formation energy is -0.594 eV/atom.

=====

Below is a geometry-optimized Ac2RhC2N6 structure, with properties calculated at the PBE level.

The structure belongs to space group R-3m (No. 166, hexagonal axes); the cell edges are 5.2891, 5.2891 and 16.2680 Å and the angles 90.00°, 90.00° and 120.00°. The distinct sites, in fractional coordinates, are Ac at (0.0000, 0.0000, 0.2245), Rh at (0.0000, 0.0000, 0.0000), C at (0.0000, 0.0000, 0.4078) and N at (0.0329, 0.5165, 0.2532).

Its uncorrected formation energy is -0.337 eV/atom.

=====

Below is a geometry-optimized Ac3RhC2N6 structure, with properties calculated at the PBE level.

The structure belongs to space group P-3m1 (No. 164); the cell edges are 5.4683, 5.4683 and 6.9125 Å and the angles 90.00°, 90.00° and 120.00°. The distinct sites, in fractional coordinates, are Ac at (0.0000, 0.0000, 0.0000), Ac at (0.3333, 0.6667, 0.6649), Rh at (0.0000, 0.0000, 0.5000), C at (0.3333, 0.6667, 0.2662) and N at (0.1870, 0.3740, 0.2678).

Its uncorrected formation energy is -0.490 eV/atom.

=====

Below is a geometry-optimized AcRhCN structure, with properties calculated at the PBE level.

The structure belongs to space group Pmm2 (No. 25); the cell edges are 3.435, 4.458 and 4.194 Å and the angles 90.00°, 90.00° and 90.00°. The distinct sites, in fractional coordinates, are Ac at (0.000, 0.000, 0.000), Rh at (0.000, 0.500, 0.508), C at (0.500, 0.500, 0.215) and N at (0.500, 0.500, 0.894).

Its uncorrected formation energy is -0.152 eV/atom.

=====

Below is a geometry-optimized Ac3RuC2N6 structure, with properties calculated at the PBE level.

The structure belongs to space group P-3m1 (No. 164); the cell edges are 5.4218, 5.4218 and 6.9159 Å and the angles 90.00°, 90.00° and 120.00°. The distinct sites, in fractional coordinates, are Ac at (0.0000, 0.0000, 0.0000), Ac at (0.3333, 0.6667, 0.6669), Ru at (0.0000, 0.0000, 0.5000), C at (0.3333, 0.6667, 0.2738) and N at (0.1853, 0.3705, 0.2745).

Its uncorrected formation energy is -0.460 eV/atom.

=====

Below is a geometry-optimized Ac2RuC2N6 structure, with properties calculated at the PBE level.

The structure belongs to space group R-3m (No. 166, hexagonal axes); the cell edges are 5.2925, 5.2925 and 16.1202 Å and the angles 90.00°, 90.00° and 120.00°. The distinct sites, in fractional coordinates, are Ac at (0.0000, 0.0000, 0.2253), Ru at (0.0000, 0.0000, 0.0000), C at (0.0000, 0.0000, 0.4076) and N at (0.0335, 0.5168, 0.2550).

Its uncorrected formation energy is -0.393 eV/atom.

=====

Below is a geometry-optimized Ac4CS2N structure, with properties calculated at the PBE level.

The structure belongs to space group P2/m (No. 10); the cell edges are 7.082, 4.103 and 7.419 Å and the angles 90.00°, 108.64° and 90.00°. The distinct sites, in fractional coordinates, are Ac at (0.238, 0.000, 0.215), Ac at (0.260, 0.500, 0.782), C at (0.500, 0.000, 0.000), S at (0.000, 0.000, 0.500), S at (0.500, 0.500, 0.500) and N at (0.000, 0.500, 0.000).

Its uncorrected formation energy is -1.256 eV/atom.

=====

Below is a geometry-optimized Ac3CSeN structure, with properties calculated at the PBE level.

The structure belongs to space group P2_1/m (No. 11); the cell edges are 7.758, 4.153 and 10.592 Å and the angles 90.00°, 107.15° and 90.00°. The distinct sites, in fractional coordinates, are Ac at (0.029, 0.250, 0.357), Ac at (0.283, 0.250, 0.953), Ac at (0.437, 0.750, 0.671), C at (0.194, 0.250, 0.604), Se at (0.203, 0.750, 0.190) and N at (0.404, 0.750, 0.884).

Its uncorrected formation energy is -0.939 eV/atom.

=====

Below is a geometry-optimized Ac4CSe2N structure, with properties calculated at the PBE level.

The structure belongs to space group P2/m (No. 10); the cell edges are 7.152, 4.145 and 7.645 Å and the angles 90.00°, 108.27° and 90.00°. The distinct sites, in fractional coordinates, are Ac at (0.235, 0.000, 0.207), Ac at (0.263, 0.500, 0.790), C at (0.500, 0.000, 0.000), Se at (0.000, 0.000, 0.500), Se at (0.500, 0.500, 0.500) and N at (0.000, 0.500, 0.000).

Its uncorrected formation energy is -1.178 eV/atom.

=====

Below is a geometry-optimized AcSm2C2N6 structure, with properties calculated at the PBE level.

The structure belongs to space group P-1 (No. 2); the cell edges are 4.972, 5.531 and 6.621 Å and the angles 112.12°, 95.30° and 110.16°. The distinct sites, in fractional coordinates, are Ac at (0.000, 0.000, 0.000), Sm at (0.250, 0.393, 0.648), C at (0.289, 0.745, 0.256), N at (0.192, 0.955, 0.346), N at (0.223, 0.525, 0.325) and N at (0.439, 0.745, 0.092).

Its uncorrected formation energy is -0.719 eV/atom.

=====

Below is a geometry-optimized AcSmC3N6 structure, with properties calculated at the PBE level.

The structure belongs to space group R3 (No. 146, hexagonal axes); the cell edges are 6.9148, 6.9148 and 15.3074 Å and the angles 90.00°, 90.00° and 120.00°. The distinct sites, in fractional coordinates, are Ac at (0.0000, 0.0000, 0.0000), Sm at (0.0000, 0.0000, 0.3590), C at (0.0383, 0.2927, 0.1842), N at (0.0005, 0.4592, 0.7779) and N at (0.0850, 0.3681, 0.9237).

Its uncorrected formation energy is -0.741 eV/atom.

=====

Below is a geometry-optimized SrAcC3N6 structure, with properties calculated at the PBE level.

The structure belongs to space group R-3m (No. 166, hexagonal axes); the cell edges are 10.0596, 10.0596 and 7.4637 Å and the angles 90.00°, 90.00° and 120.00°. The distinct sites, in fractional coordinates, are Sr at (0.0000, 0.0000, 0.0000), Ac at (0.0000, 0.0000, 0.5000), C at (0.0000, 0.5000, 0.5000) and N at (0.1057, 0.2115, 0.7490).

Its uncorrected formation energy is -0.482 eV/atom.

=====

Below is a geometry-optimized Sr2AcC2N6 structure, with properties calculated at the PBE level.

The structure belongs to space group P-3 (No. 147); the cell edges are 6.0941, 6.0941 and 5.4772 Å and the angles 90.00°, 90.00° and 120.00°. The distinct sites, in fractional coordinates, are Sr at (0.3333, 0.6667, 0.2925), Ac at (0.0000, 0.0000, 0.0000), C at (0.3333, 0.6667, 0.7762) and N at (0.1474, 0.4233, 0.7715).

Its uncorrected formation energy is -0.376 eV/atom.

=====

Below is a geometry-optimized SrAc2C2N6 structure, with properties calculated at the PBE level.

The structure belongs to space group P-1 (No. 2); the cell edges are 4.521, 6.358 and 6.983 Å and the angles 75.36°, 79.50° and 75.00°. The distinct sites, in fractional coordinates, are Sr at (0.000, 0.000, 0.000), Ac at (0.363, 0.323, 0.316), C at (0.370, 0.286, 0.771), N at (0.197, 0.480, 0.674), N at (0.436, 0.095, 0.702) and N at (0.479, 0.292, 0.938).

Its uncorrected formation energy is -0.542 eV/atom.

=====

Below is a geometry-optimized Sr3AcC2N6 structure, with properties calculated at the PBE level.

The structure belongs to space group P-3m1 (No. 164); the cell edges are 5.8100, 5.8100 and 6.7800 Å and the angles 90.00°, 90.00° and 120.00°. The distinct sites, in fractional coordinates, are Sr at (0.0000, 0.0000, 0.0000), Sr at (0.3333, 0.6667, 0.6857), Ac at (0.0000, 0.0000, 0.5000), C at (0.3333, 0.6667, 0.2592) and N at (0.1975, 0.3951, 0.2676).

Its uncorrected formation energy is -0.613 eV/atom.

=====

Below is a geometry-optimized AcTb2C2N6 structure, with properties calculated at the PBE level.

The structure belongs to space group P-1 (No. 2); the cell edges are 4.879, 5.508 and 6.532 Å and the angles 112.13°, 95.56° and 109.46°. The distinct sites, in fractional coordinates, are Ac at (0.000, 0.000, 0.000), Tb at (0.246, 0.386, 0.643), C at (0.287, 0.741, 0.258), N at (0.190, 0.953, 0.351), N at (0.227, 0.525, 0.332) and N at (0.431, 0.736, 0.086).

Its uncorrected formation energy is -0.756 eV/atom.

=====

Below is a geometry-optimized AcTbC3N6 structure, with properties calculated at the PBE level.

The structure belongs to space group R3 (No. 146, hexagonal axes); the cell edges are 6.8289, 6.8289 and 15.2148 Å and the angles 90.00°, 90.00° and 120.00°. The distinct sites, in fractional coordinates, are Ac at (0.0000, 0.0000, 0.0000), Tb at (0.0000, 0.0000, 0.6407), C at (0.0868, 0.3679, 0.4807), N at (0.0042, 0.4725, 0.2209) and N at (0.0364, 0.2921, 0.7405).

Its uncorrected formation energy is -0.759 eV/atom.

=====

Below is a geometry-optimized Ac2TbC2N6 structure, with properties calculated at the PBE level.

The structure belongs to space group C2/m (No. 12); the cell edges are 9.741, 5.433 and 6.693 Å and the angles 90.00°, 121.92° and 90.00°. The distinct sites, in fractional coordinates, are Ac at (0.214, 0.000, 0.197), Tb at (0.000, 0.000, 0.500), C at (0.058, 0.500, 0.252), N at (0.024, 0.282, 0.784) and N at (0.219, 0.500, 0.334).

Its uncorrected formation energy is -0.812 eV/atom.

=====

Below is a geometry-optimized Ac3TcC2N6 structure, with properties calculated at the PBE level.

The structure belongs to space group P-3m1 (No. 164); the cell edges are 5.4216, 5.4216 and 6.9115 Å and the angles 90.00°, 90.00° and 120.00°. The distinct sites, in fractional coordinates, are Ac at (0.0000, 0.0000, 0.0000), Ac at (0.3333, 0.6667, 0.6677), Tc at (0.0000, 0.0000, 0.5000), C at (0.3333, 0.6667, 0.2781) and N at (0.1856, 0.3713, 0.2793).

Its uncorrected formation energy is -0.461 eV/atom.